[1]
# ScCu2Ag

A geometry-optimized ScCu2Ag structure (GGA-PBE, Alexandria).

Values from the calculation:
V   131.6 Å³ per cell
Total energy   -4.102 eV per atom
Calculated formation energy   242.1 meV per atom

Cell lengths 7.0208, 7.0208, 5.6368 Å; angles 51.48, 51.48, 90.00 degrees
Fractional positions:
1 Cu 0.6346 0.1250 0.2500
2 Cu 0.1154 0.6250 0.2500
3 Cu 0.8750 0.8846 0.7500
4 Cu 0.3750 0.3654 0.7500
5 Sc 0.5000 0.5000 0.0000
6 Sc 0.2500 0.7500 0.5000
7 Ag 0.7500 0.2500 0.5000
8 Ag 0.0000 0.0000 0.0000

[2]
# Sc2CuAg

A geometry-optimized Sc2CuAg structure (GGA-PBE, Alexandria).

Values from the calculation:
V   161.2 Å³ per cell
Total energy   -4.743 eV per atom
Calculated formation energy   159.9 meV per atom

Cell lengths 7.4735, 7.4735, 6.0212 Å; angles 51.64, 51.64, 90.00 degrees
Site moments in Bohr magnetons follow the coordinates.
Fractional positions:
1 Cu 0.5000 0.5000 0.0000  0.00
2 Cu 0.2500 0.7500 0.5000  0.00
3 Sc 0.1489 0.6250 0.2500  0.18
4 Sc 0.8750 0.8511 0.7500  0.19
5 Sc 0.6011 0.1250 0.2500  0.18
6 Sc 0.3750 0.3989 0.7500  0.18
7 Ag 0.0000 0.0000 0.0000  0.01
8 Ag 0.7500 0.2500 0.5000  0.01

[3]
# ScCu2Ag

A geometry-optimized ScCu2Ag structure (GGA-PBE, Alexandria).

Values from the calculation:
V   65.1 Å³ per cell
Total energy   -4.369 eV per atom
Calculated formation energy   -25.0 meV per atom

Cell lengths 6.9743, 4.1372, 3.8024 Å; angles 90.14, 56.76, 126.23 degrees
Fractional positions:
1 Ag 0.5000 0.5000 0.0000
2 Cu 0.5000 0.0000 0.5000
3 Cu 0.0000 0.0000 0.0000
4 Sc 0.0000 0.5000 0.5000

[4]
# Sc2CuAg

A geometry-optimized Sc2CuAg structure (GGA-PBE, Alexandria).

Values from the calculation:
V   81.7 Å³ per cell
Total energy   -4.442 eV per atom
Calculated formation energy   460.9 meV per atom

Cell lengths 6.2279, 6.2279, 6.2279 Å; angles 56.00, 152.69, 132.11 degrees
Fractional positions:
1 Sc 0.0000 0.7634 0.7634
2 Sc 0.0000 0.2366 0.2366
3 Ag 0.0000 0.5000 0.5000
4 Cu 0.0000 0.0000 0.0000

[5]
# Sc2CuAg

A geometry-optimized Sc2CuAg structure (GGA-PBE, Alexandria).

Values from the calculation:
V   70.9 Å³ per cell
Total energy   -4.984 eV per atom
Calculated formation energy   -81.0 meV per atom

Cell lengths 4.6449, 4.6449, 4.6449 Å; angles 60.00, 60.00, 60.00 degrees
Fractional positions:
1 Sc 0.0000 0.0000 0.0000
2 Sc 0.7500 0.7500 0.7500
3 Cu 0.2500 0.2500 0.2500
4 Ag 0.5000 0.5000 0.5000

[6]
# ScCuAg

A geometry-optimized ScCuAg structure (GGA-PBE, Alexandria).

Values from the calculation:
V   53.9 Å³ per cell
Total energy   -4.571 eV per atom
Calculated formation energy   -144.2 meV per atom

Cell lengths 4.4520, 4.4520, 3.1376 Å; angles 90.00, 90.00, 120.00 degrees
Fractional positions:
1 Sc 0.3333 0.6667 0.6671
2 Ag 0.0000 0.0000 0.1675
3 Cu 0.6667 0.3333 0.1654

[7]
# ScCu2Ag

A geometry-optimized ScCu2Ag structure (GGA-PBE, Alexandria).

Values from the calculation:
V   65.9 Å³ per cell
Total energy   -4.219 eV per atom
Calculated formation energy   124.9 meV per atom

Cell lengths 8.7723, 8.7723, 8.7723 Å; angles 19.53, 19.53, 19.53 degrees
Fractional positions:
1 Sc 0.5057 0.5057 0.5057
2 Ag 0.7435 0.7435 0.7435
3 Cu 0.9945 0.9945 0.9945
4 Cu 0.2564 0.2564 0.2564

[8]
# Sc4Cu2Ag

A geometry-optimized Sc4Cu2Ag structure (GGA-PBE, Alexandria).

Values from the calculation:
V   139.2 Å³ per cell
Total energy   -5.324 eV per atom
Calculated formation energy   -128.2 meV per atom

Cell lengths 4.6644, 4.6644, 7.8656 Å; angles 72.75, 72.75, 60.00 degrees
Fractional positions:
1 Cu 0.7452 0.7452 0.7644
2 Cu 0.2548 0.2548 0.2356
3 Ag 0.0000 0.0000 0.0000
4 Sc 0.8683 0.8683 0.3951
5 Sc 0.3847 0.3847 0.8458
6 Sc 0.1317 0.1317 0.6049
7 Sc 0.6153 0.6153 0.1542

[9]
# Sc4Cu2Ag

A geometry-optimized Sc4Cu2Ag structure (GGA-PBE, Alexandria).

Values from the calculation:
V   150.4 Å³ per cell
Total energy   -5.174 eV per atom
Calculated formation energy   21.8 meV per atom

Cell lengths 4.4348, 4.4348, 9.1931 Å; angles 76.04, 76.04, 60.00 degrees
Fractional positions:
1 Sc 0.6131 0.6131 0.1606
2 Sc 0.7990 0.7990 0.6031
3 Sc 0.2010 0.2010 0.3969
4 Sc 0.3869 0.3869 0.8394
5 Cu 0.0984 0.0984 0.7047
6 Cu 0.9016 0.9016 0.2953
7 Ag 0.0000 0.0000 0.0000

[10]
# ScCu2Ag

A geometry-optimized ScCu2Ag structure (GGA-PBE, Alexandria).

Values from the calculation:
V   64.3 Å³ per cell
Total energy   -4.464 eV per atom
Calculated formation energy   -120.0 meV per atom

Cell lengths 3.2872, 3.2873, 5.9460 Å; angles 90.00, 90.00, 90.00 degrees
Fractional positions:
1 Cu 0.0000 0.0000 0.9879
2 Cu 0.0000 0.0000 0.5121
3 Ag 0.5000 0.5000 0.7500
4 Sc 0.5000 0.5000 0.2500

[11]
# ScCu3Ag

A geometry-optimized ScCu3Ag structure (GGA-PBE, Alexandria).

Values from the calculation:
V   102.1 Å³ per cell
Total energy   -3.615 eV per atom
Calculated formation energy   679.5 meV per atom

Cell lengths 4.6739, 4.6739, 4.6739 Å; angles 90.00, 90.00, 90.00 degrees
Fractional positions:
1 Cu 0.5000 0.0000 0.0000
2 Cu 0.0000 0.0000 0.5000
3 Cu 0.0000 0.5000 0.0000
4 Ag 0.0000 0.0000 0.0000
5 Sc 0.5000 0.5000 0.5000

[12]
# ScCu2Ag

A geometry-optimized ScCu2Ag structure (GGA-PBE, Alexandria).

Values from the calculation:
V   67.4 Å³ per cell
Total energy   -4.227 eV per atom
Calculated formation energy   116.4 meV per atom

Cell lengths 8.5396, 8.5396, 8.5396 Å; angles 20.58, 20.58, 20.58 degrees
Fractional positions:
1 Cu 0.0005 0.0005 0.0005
2 Cu 0.4995 0.4995 0.4995
3 Sc 0.2500 0.2500 0.2500
4 Ag 0.7500 0.7500 0.7500